Entry 1:
# LaZnRu4

LaZnRu4 after structural relaxation (PBE, the Alexandria database).

Geometry as CIF:
```
data_LaZnRu4
_space_group_name_H-M_alt 'F -4 3 m'
_space_group_IT_number 216
_space_group_name_Hall 'F -4 2 3'
_cell_length_a 7.511
_cell_length_b 7.511
_cell_length_c 7.511
_cell_angle_alpha 90.00
_cell_angle_beta 90.00
_cell_angle_gamma 90.00
loop_
_atom_site_label
_atom_site_fract_x
_atom_site_fract_y
_atom_site_fract_z
La1 0.000 0.000 0.000
Zn1 0.250 0.250 0.250
Ru1 0.124 0.124 0.624
```

Computed properties:
**Calculated total energy**: -7.034 eV/atom
**ΔH_f (0 K)**: 0.18 eV/atom

Entry 2:
# La12Zn6Ru

La12Zn6Ru after structural relaxation (PBE, the Alexandria database).

Geometry as CIF:
```
data_La12Zn6Ru
_space_group_name_H-M_alt 'R -3'
_space_group_IT_number 148
_space_group_name_Hall '-R 3'
_cell_length_a 12.2259
_cell_length_b 12.2259
_cell_length_c 13.5247
_cell_angle_alpha 90.00
_cell_angle_beta 90.00
_cell_angle_gamma 120.00
loop_
_atom_site_label
_atom_site_fract_x
_atom_site_fract_y
_atom_site_fract_z
La1 0.0391 0.8433 0.3863
La2 0.0429 0.1981 0.8748
Zn1 0.0052 0.6000 0.2566
Ru1 0.0000 0.0000 0.0000
```

Computed properties:
**Calculated total energy**: -4.138 eV/atom
**ΔH_f (0 K)**: -0.14 eV/atom

Entry 3:
# La2Zn2Ru

La2Zn2Ru after structural relaxation (PBE, the Alexandria database).

Geometry as CIF:
```
data_La2Zn2Ru
_space_group_name_H-M_alt 'C 1 2/m 1'
_space_group_IT_number 12
_cell_length_a 11.171
_cell_length_b 3.995
_cell_length_c 11.412
_cell_angle_alpha 90.00
_cell_angle_beta 109.89
_cell_angle_gamma 90.00
loop_
_space_group_symop_operation_xyz
'x,y,z'
'-x,-y,-z'
'-x,y,-z'
'x,-y,z'
'x+1/2,y+1/2,z'
'-x+1/2,-y+1/2,-z'
'-x+1/2,y+1/2,-z'
'x+1/2,-y+1/2,z'
loop_
_atom_site_label
_atom_site_fract_x
_atom_site_fract_y
_atom_site_fract_z
La1 0.005 0.000 0.343
La2 0.197 0.000 0.132
Zn1 0.025 0.500 0.894
Zn2 0.186 0.500 0.551
Ru1 0.184 0.500 0.306
```

Computed properties:
**Calculated total energy**: -4.665 eV/atom
**Excess energy over the best structure of this formula in the dataset**: 5 meV per atom
**ΔH_f (0 K)**: -0.33 eV/atom

Entry 4:
# La6Zn5Ru

La6Zn5Ru after structural relaxation (PBE, the Alexandria database).

Geometry as CIF:
```
data_La6Zn5Ru
_space_group_name_H-M_alt 'C 1 2/m 1'
_space_group_IT_number 12
_cell_length_a 16.623
_cell_length_b 7.467
_cell_length_c 5.277
_cell_angle_alpha 90.00
_cell_angle_beta 108.44
_cell_angle_gamma 90.00
loop_
_space_group_symop_operation_xyz
'x,y,z'
'-x,-y,-z'
'-x,y,-z'
'x,-y,z'
'x+1/2,y+1/2,z'
'-x+1/2,-y+1/2,-z'
'-x+1/2,y+1/2,-z'
'x+1/2,-y+1/2,z'
loop_
_atom_site_label
_atom_site_fract_x
_atom_site_fract_y
_atom_site_fract_z
La1 0.000 0.236 0.000
La2 0.157 0.239 0.656
Zn1 0.000 0.500 0.500
Zn2 0.170 0.500 0.169
Zn3 0.182 0.000 0.180
Ru1 0.000 0.000 0.500
```

Computed properties:
**Calculated total energy**: -4.071 eV/atom
**ΔH_f (0 K)**: -0.30 eV/atom

Entry 5:
# La4Zn3Ru2

La4Zn3Ru2 after structural relaxation (PBE, the Alexandria database).

Geometry as CIF:
```
data_La4Zn3Ru2
_space_group_name_H-M_alt 'C 1 2/m 1'
_space_group_IT_number 12
_cell_length_a 16.298
_cell_length_b 4.054
_cell_length_c 7.381
_cell_angle_alpha 90.00
_cell_angle_beta 113.61
_cell_angle_gamma 90.00
loop_
_space_group_symop_operation_xyz
'x,y,z'
'-x,-y,-z'
'-x,y,-z'
'x,-y,z'
'x+1/2,y+1/2,z'
'-x+1/2,-y+1/2,-z'
'-x+1/2,y+1/2,-z'
'x+1/2,-y+1/2,z'
loop_
_atom_site_label
_atom_site_fract_x
_atom_site_fract_y
_atom_site_fract_z
La1 0.064 0.000 0.371
La2 0.222 0.500 0.193
Zn1 0.000 0.500 0.000
Zn2 0.103 0.500 0.737
Ru1 0.099 0.000 0.964
```

Computed properties:
**Calculated total energy**: -4.970 eV/atom
**ΔH_f (0 K)**: -0.29 eV/atom

Entry 6:
# La8Zn2Ru

La8Zn2Ru after structural relaxation (PBE, the Alexandria database).

Geometry as CIF:
```
data_La8Zn2Ru
_space_group_name_H-M_alt 'C 1 2/m 1'
_space_group_IT_number 12
_cell_length_a 18.438
_cell_length_b 4.992
_cell_length_c 7.419
_cell_angle_alpha 90.00
_cell_angle_beta 94.20
_cell_angle_gamma 90.00
loop_
_space_group_symop_operation_xyz
'x,y,z'
'-x,-y,-z'
'-x,y,-z'
'x,-y,z'
'x+1/2,y+1/2,z'
'-x+1/2,-y+1/2,-z'
'-x+1/2,y+1/2,-z'
'x+1/2,-y+1/2,z'
loop_
_atom_site_label
_atom_site_fract_x
_atom_site_fract_y
_atom_site_fract_z
La1 0.012 0.000 0.273
La2 0.096 0.500 0.975
La3 0.147 0.500 0.491
La4 0.214 0.000 0.815
Zn1 0.186 0.000 0.234
Ru1 0.000 0.500 0.500
```

Computed properties:
**Calculated total energy**: -4.816 eV/atom
**Excess energy over the best structure of this formula in the dataset**: 0 meV per atom
**ΔH_f (0 K)**: -0.16 eV/atom

Entry 7:
# La2ZnRu2

La2ZnRu2 after structural relaxation (PBE, the Alexandria database).

Geometry as CIF:
```
data_La2ZnRu2
_space_group_name_H-M_alt 'C 1 2/c 1'
_space_group_IT_number 15
_cell_length_a 10.259
_cell_length_b 5.497
_cell_length_c 8.181
_cell_angle_alpha 90.00
_cell_angle_beta 107.34
_cell_angle_gamma 90.00
loop_
_space_group_symop_operation_xyz
'x,y,z'
'-x,-y,-z'
'-x,y,-z+1/2'
'x,-y,z+1/2'
'x+1/2,y+1/2,z'
'-x+1/2,-y+1/2,-z'
'-x+1/2,y+1/2,-z+1/2'
'x+1/2,-y+1/2,z+1/2'
loop_
_atom_site_label
_atom_site_fract_x
_atom_site_fract_y
_atom_site_fract_z
La1 0.146 0.146 0.141
Zn1 0.000 0.386 0.750
Ru1 0.137 0.344 0.526
```

Computed properties:
**Calculated total energy**: -6.213 eV/atom
**ΔH_f (0 K)**: -0.28 eV/atom

Entry 8:
# La8Zn2Ru

La8Zn2Ru after structural relaxation (PBE, the Alexandria database).

Geometry as CIF:
```
data_La8Zn2Ru
_space_group_name_H-M_alt 'I m m m'
_space_group_IT_number 71
_space_group_name_Hall '-I 2 2'
_cell_length_a 5.955
_cell_length_b 7.443
_cell_length_c 14.705
_cell_angle_alpha 90.00
_cell_angle_beta 90.00
_cell_angle_gamma 90.00
loop_
_atom_site_label
_atom_site_fract_x
_atom_site_fract_y
_atom_site_fract_z
La1 0.000 0.000 0.145
La2 0.000 0.235 0.365
La3 0.000 0.277 0.000
Zn1 0.000 0.500 0.191
Ru1 0.000 0.500 0.500
```

Computed properties:
**Calculated total energy**: -4.726 eV/atom
**Excess energy over the best structure of this formula in the dataset**: 90 meV per atom
**ΔH_f (0 K)**: -0.07 eV/atom

Entry 9:
# La2ZnRu2

La2ZnRu2 after structural relaxation (PBE, the Alexandria database).

Geometry as CIF:
```
data_La2ZnRu2
_space_group_name_H-M_alt 'P 4/m b m'
_space_group_IT_number 127
_space_group_name_Hall '-P 4 2ab'
_cell_length_a 7.137
_cell_length_b 7.137
_cell_length_c 4.291
_cell_angle_alpha 90.00
_cell_angle_beta 90.00
_cell_angle_gamma 90.00
loop_
_atom_site_label
_atom_site_fract_x
_atom_site_fract_y
_atom_site_fract_z
La1 0.176 0.324 0.000
Zn1 0.000 0.000 0.500
Ru1 0.142 0.642 0.500
```

Computed properties:
**Calculated total energy**: -6.123 eV/atom
**ΔH_f (0 K)**: -0.19 eV/atom

Entry 10:
# La4ZnRu2

La4ZnRu2 after structural relaxation (PBE, the Alexandria database).

Geometry as CIF:
```
data_La4ZnRu2
_space_group_name_H-M_alt 'C 1 m 1'
_space_group_IT_number 8
_cell_length_a 12.306
_cell_length_b 8.721
_cell_length_c 7.941
_cell_angle_alpha 90.00
_cell_angle_beta 110.87
_cell_angle_gamma 90.00
loop_
_space_group_symop_operation_xyz
'x,y,z'
'x,-y,z'
'x+1/2,y+1/2,z'
'x+1/2,-y+1/2,z'
loop_
_atom_site_label
_atom_site_fract_x
_atom_site_fract_y
_atom_site_fract_z
La1 0.000 0.000 0.000
La2 0.003 0.500 0.999
La3 0.007 0.500 0.478
La4 0.222 0.270 0.353
La5 0.239 0.280 0.861
La6 0.484 0.500 0.456
Zn1 0.285 0.000 0.634
Zn2 0.291 0.000 0.131
Ru1 0.264 0.500 0.123
Ru2 0.284 0.500 0.634
Ru3 0.450 0.245 0.208
```

Computed properties:
**Calculated total energy**: -5.897 eV/atom
**Excess energy over the best structure of this formula in the dataset**: 0 meV per atom
**ΔH_f (0 K)**: -0.25 eV/atom

Entry 11:
# La6ZnRu

La6ZnRu after structural relaxation (PBE, the Alexandria database).

Geometry as CIF:
```
data_La6ZnRu
_space_group_name_H-M_alt 'P -1'
_space_group_IT_number 2
_cell_length_a 6.995
_cell_length_b 7.002
_cell_length_c 7.864
_cell_angle_alpha 90.04
_cell_angle_beta 116.37
_cell_angle_gamma 119.96
loop_
_space_group_symop_operation_xyz
'x,y,z'
'-x,-y,-z'
loop_
_atom_site_label
_atom_site_fract_x
_atom_site_fract_y
_atom_site_fract_z
La1 0.028 0.084 0.249
La2 0.306 0.722 0.249
La3 0.334 0.556 0.751
Zn1 0.500 0.000 0.000
Ru1 0.500 0.500 0.500
```

Computed properties:
**Calculated total energy**: -5.072 eV/atom
**ΔH_f (0 K)**: -0.06 eV/atom

Entry 12:
# LaZn4Ru

LaZn4Ru after structural relaxation (PBE, the Alexandria database).

Geometry as CIF:
```
data_LaZn4Ru
_space_group_name_H-M_alt 'C 1 2/m 1'
_space_group_IT_number 12
_cell_length_a 5.463
_cell_length_b 8.623
_cell_length_c 5.290
_cell_angle_alpha 90.00
_cell_angle_beta 90.85
_cell_angle_gamma 90.00
loop_
_space_group_symop_operation_xyz
'x,y,z'
'-x,-y,-z'
'-x,y,-z'
'x,-y,z'
'x+1/2,y+1/2,z'
'-x+1/2,-y+1/2,-z'
'-x+1/2,y+1/2,-z'
'x+1/2,-y+1/2,z'
loop_
_atom_site_label
_atom_site_fract_x
_atom_site_fract_y
_atom_site_fract_z
La1 0.000 0.000 0.000
Zn1 0.004 0.500 0.262
Zn2 0.250 0.250 0.500
Ru1 0.000 0.000 0.500
```

Computed properties:
**Calculated total energy**: -3.408 eV/atom
**Excess energy over the best structure of this formula in the dataset**: 69 meV per atom
**ΔH_f (0 K)**: -0.19 eV/atom

Entry 13:
# La4ZnRu2

La4ZnRu2 after structural relaxation (PBE, the Alexandria database).

Geometry as CIF:
```
data_La4ZnRu2
_space_group_name_H-M_alt 'R -3 m'
_space_group_IT_number 166
_space_group_name_Hall '-R 3 2"'
_cell_length_a 4.8059
_cell_length_b 4.8059
_cell_length_c 29.2300
_cell_angle_alpha 90.00
_cell_angle_beta 90.00
_cell_angle_gamma 120.00
loop_
_atom_site_label
_atom_site_fract_x
_atom_site_fract_y
_atom_site_fract_z
La1 0.0000 0.0000 0.1150
La2 0.0000 0.0000 0.2945
Zn1 0.0000 0.0000 0.5000
Ru1 0.0000 0.0000 0.4101
```

Computed properties:
**Calculated total energy**: -5.894 eV/atom
**Excess energy over the best structure of this formula in the dataset**: 3 meV per atom
**ΔH_f (0 K)**: -0.25 eV/atom

Entry 14:
# La2Zn2Ru

La2Zn2Ru after structural relaxation (PBE, the Alexandria database).

Geometry as CIF:
```
data_La2Zn2Ru
_space_group_name_H-M_alt 'I 4/m m m'
_space_group_IT_number 139
_space_group_name_Hall '-I 4 2'
_cell_length_a 3.571
_cell_length_b 3.571
_cell_length_c 18.818
_cell_angle_alpha 90.00
_cell_angle_beta 90.00
_cell_angle_gamma 90.00
loop_
_atom_site_label
_atom_site_fract_x
_atom_site_fract_y
_atom_site_fract_z
La1 0.000 0.000 0.092
Zn1 0.000 0.500 0.250
Ru1 0.000 0.000 0.500
```

Computed properties:
**Calculated total energy**: -4.459 eV/atom
**Excess energy over the best structure of this formula in the dataset**: 211 meV per atom
**ΔH_f (0 K)**: -0.12 eV/atom

Entry 15:
# La8ZnRu2

La8ZnRu2 after structural relaxation (PBE, the Alexandria database).

Geometry as CIF:
```
data_La8ZnRu2
_space_group_name_H-M_alt 'C 1 m 1'
_space_group_IT_number 8
_cell_length_a 8.665
_cell_length_b 13.985
_cell_length_c 5.887
_cell_angle_alpha 90.00
_cell_angle_beta 106.49
_cell_angle_gamma 90.00
loop_
_space_group_symop_operation_xyz
'x,y,z'
'x,-y,z'
'x+1/2,y+1/2,z'
'x+1/2,-y+1/2,z'
loop_
_atom_site_label
_atom_site_fract_x
_atom_site_fract_y
_atom_site_fract_z
La1 0.000 0.000 0.000
La2 0.103 0.375 0.748
La3 0.179 0.125 0.633
La4 0.284 0.500 0.384
La5 0.389 0.239 0.190
Zn1 0.392 0.000 0.186
Ru1 0.395 0.282 0.695
```

Computed properties:
**Calculated total energy**: -5.513 eV/atom
**Excess energy over the best structure of this formula in the dataset**: 23 meV per atom
**ΔH_f (0 K)**: -0.13 eV/atom

Entry 16:
# LaZn4Ru

LaZn4Ru after structural relaxation (PBE, the Alexandria database).

Geometry as CIF:
```
data_LaZn4Ru
_space_group_name_H-M_alt 'P m m a'
_space_group_IT_number 51
_cell_length_a 8.044
_cell_length_b 4.109
_cell_length_c 6.813
_cell_angle_alpha 90.00
_cell_angle_beta 90.00
_cell_angle_gamma 90.00
loop_
_space_group_symop_operation_xyz
'x,y,z'
'-x,-y,-z'
'-x+1/2,-y,z'
'x+1/2,y,-z'
'x+1/2,-y,-z'
'-x+1/2,y,z'
'-x,y,-z'
'x,-y,z'
loop_
_atom_site_label
_atom_site_fract_x
_atom_site_fract_y
_atom_site_fract_z
La1 0.250 0.000 0.098
Zn1 0.000 0.000 0.500
Zn2 0.048 0.500 0.787
Zn3 0.250 0.500 0.465
Ru1 0.250 0.000 0.724
```

Computed properties:
**Calculated total energy**: -3.477 eV/atom
**Excess energy over the best structure of this formula in the dataset**: 0 meV per atom
**ΔH_f (0 K)**: -0.26 eV/atom

Entry 17:
# LaZn4Ru

LaZn4Ru after structural relaxation (PBE, the Alexandria database).

Geometry as CIF:
```
data_LaZn4Ru
_space_group_name_H-M_alt 'F -4 3 m'
_space_group_IT_number 216
_space_group_name_Hall 'F -4 2 3'
_cell_length_a 7.442
_cell_length_b 7.442
_cell_length_c 7.442
_cell_angle_alpha 90.00
_cell_angle_beta 90.00
_cell_angle_gamma 90.00
loop_
_atom_site_label
_atom_site_fract_x
_atom_site_fract_y
_atom_site_fract_z
La1 0.000 0.000 0.000
Zn1 0.123 0.123 0.377
Ru1 0.250 0.250 0.750
```

Computed properties:
**Calculated total energy**: -3.402 eV/atom
**Excess energy over the best structure of this formula in the dataset**: 75 meV per atom
**ΔH_f (0 K)**: -0.19 eV/atom

Entry 18:
# La7Zn2Ru2

La7Zn2Ru2 after structural relaxation (PBE, the Alexandria database).

Geometry as CIF:
```
data_La7Zn2Ru2
_space_group_name_H-M_alt 'C m m m'
_space_group_IT_number 65
_space_group_name_Hall '-C 2 2'
_cell_length_a 7.982
_cell_length_b 11.602
_cell_length_c 7.211
_cell_angle_alpha 90.00
_cell_angle_beta 90.00
_cell_angle_gamma 90.00
loop_
_atom_site_label
_atom_site_fract_x
_atom_site_fract_y
_atom_site_fract_z
La1 0.000 0.000 0.000
La2 0.000 0.500 0.254
La3 0.250 0.250 0.261
Zn1 0.158 0.000 0.500
Ru1 0.000 0.303 0.000
```

Computed properties:
**Calculated total energy**: -5.236 eV/atom
**ΔH_f (0 K)**: -0.18 eV/atom

Entry 19:
# La3ZnRu3

La3ZnRu3 after structural relaxation (PBE, the Alexandria database).

Geometry as CIF:
```
data_La3ZnRu3
_space_group_name_H-M_alt 'C m c m'
_space_group_IT_number 63
_space_group_name_Hall '-C 2c 2'
_cell_length_a 4.326
_cell_length_b 10.842
_cell_length_c 13.558
_cell_angle_alpha 90.00
_cell_angle_beta 90.00
_cell_angle_gamma 90.00
loop_
_atom_site_label
_atom_site_fract_x
_atom_site_fract_y
_atom_site_fract_z
La1 0.000 0.023 0.250
La2 0.000 0.304 0.103
Zn1 0.000 0.000 0.000
Ru1 0.000 0.275 0.750
Ru2 0.000 0.411 0.588
```

Computed properties:
**Calculated total energy**: -6.516 eV/atom
**ΔH_f (0 K)**: -0.25 eV/atom

Entry 20:
# La8ZnRu2

La8ZnRu2 after structural relaxation (PBE, the Alexandria database).

Geometry as CIF:
```
data_La8ZnRu2
_space_group_name_H-M_alt 'C 1 2/m 1'
_space_group_IT_number 12
_cell_length_a 12.873
_cell_length_b 8.744
_cell_length_c 6.957
_cell_angle_alpha 90.00
_cell_angle_beta 110.30
_cell_angle_gamma 90.00
loop_
_space_group_symop_operation_xyz
'x,y,z'
'-x,-y,-z'
'-x,y,-z'
'x,-y,z'
'x+1/2,y+1/2,z'
'-x+1/2,-y+1/2,-z'
'-x+1/2,y+1/2,-z'
'x+1/2,-y+1/2,z'
loop_
_atom_site_label
_atom_site_fract_x
_atom_site_fract_y
_atom_site_fract_z
La1 0.119 0.000 0.206
La2 0.120 0.299 0.781
La3 0.164 0.500 0.294
Zn1 0.000 0.000 0.500
Ru1 0.172 0.000 0.849
```

Computed properties:
**Calculated total energy**: -5.536 eV/atom
**Excess energy over the best structure of this formula in the dataset**: 0 meV per atom
**ΔH_f (0 K)**: -0.15 eV/atom